Material: PuCoNi2H8
Method: DFT, GGA-PBE
State: optimized geometry

Cell lengths 4.3663, 4.3663, 5.8670 Å; angles 68.15, 68.15, 60.00 degrees
Each line ends with the local moment (μB).
Element x y z (fractional)
1 Pu 0.5000 0.5000 0.5000  5.10
2 H 0.7123 0.0960 0.8482  0.00
3 H 0.8089 0.8089 0.5732  -0.01
4 H 0.2877 0.9040 0.1518  0.00
5 H 0.9040 0.6564 0.1518  0.00
6 H 0.3436 0.7123 0.8482  0.00
7 H 0.1911 0.1911 0.4268  -0.01
8 H 0.0960 0.3436 0.8482  0.00
9 H 0.6564 0.2877 0.1518  0.00
10 Co 0.0000 0.0000 0.0000  -0.12
11 Ni 0.7077 0.7077 0.8768  0.09
12 Ni 0.2923 0.2923 0.1232  0.09

DOS(E_F) in states/eV/atom: 1.20
Magnetic moment in μB/cell: 5.3
Space-group type: R-3, No. 148
Final energy in eV per cell: -61.23
Calculated volume in Å³ per cell: 87.5